TcNiO2 after structural relaxation, computed with PBE with a Hubbard U.

Computed properties:
density of states at the Fermi level	2.6	states/eV/cell
relative energy among the computed polymorphs	186	meV/atom

abc: 3.5407 5.0080 5.8715
angles: 70.46 77.81 83.94
Last column: nearest neighbours and their distance in Å.
Space group P1 (No. 1)
One atom of each set of equivalent atoms:
Tc1 0.0000 0.0000 0.0000 (multiplicity 1)  3 O 1.99-2.10
Tc2 0.4593 0.3220 0.8592 (multiplicity 1)  3 O 1.96-2.00
Ni1 0.3520 0.9594 0.5122 (multiplicity 1)  4 O 2.00-2.16
Ni2 0.6575 0.5266 0.3599 (multiplicity 1)  4 O 2.07-2.14
O1 0.1228 0.7661 0.3263 (multiplicity 1)  1 Tc 1.99, 3 Ni 2.01-2.14
O2 0.2284 0.6970 0.8572 (multiplicity 1)  2 Tc 1.96-1.99, 1 Ni 2.00
O3 0.6101 0.2357 0.1873 (multiplicity 1)  2 Tc 2.00-2.10, 2 Ni 2.04-2.07
O4 0.8033 0.1473 0.6342 (multiplicity 1)  1 Tc 1.97, 2 Ni 2.14-2.16